HgRu2 | PBE | optimized geometry

Lattice parameters (Å, degrees): 2.869 4.533 16.189 90.00 90.00 90.00
Space group Imma (No. 74)
Symmetry-distinct sites (fractional):
Hg: 0.000 0.250 0.131
Ru: 0.000 0.250 0.535
Ru: 0.000 0.250 0.687

Calculated values
Energy of formation from the pure elements = 68.8 kJ per mole of atoms


TlNiTe2 | PBE | optimized geometry

Lattice parameters (Å, degrees): 7.363 7.363 7.363 90.00 90.00 90.00
Space group Fm-3m (No. 225)
Symmetry-distinct sites (fractional):
Tl: 0.000 0.000 0.000
Ni: 0.000 0.000 0.500
Te: 0.250 0.250 0.250

Calculated values
Formation energy from raw total energies = 0.458 eV/atom


CsCdSe2N | PBE | optimized geometry

Lattice parameters (Å, degrees): 6.064 6.064 4.509 90.00 90.00 90.00
Space group P4/mmm (No. 123)
Symmetry-distinct sites (fractional):
Cs: 0.000 0.000 0.000
Cd: 0.500 0.500 0.500
Se: 0.000 0.500 0.000
N: 0.000 0.000 0.500

Calculated values
Formation energy from raw total energies = 1.572 eV/atom


no.,calculated volume (Å³/cell),N(E_F) (states/eV/cell)
1,210.5,13.857
2,399.2,20.745
3,165.8,5.485